Entry from the Alexandria database: a relaxed CuTc2Pt crystal (GGA-PBE).

Space group ... R-3m
Energy above the lowest structure with this stoichiometry ... 0.1996 eV per atom
Total magnetization ... 0.00 μB/f.u.
E_form ... 162 meV/atom

a = 9.067 Å, b = 9.067 Å, c = 9.067 Å
α = 17.29°, β = 17.29°, γ = 17.29°
Atoms (fractional coordinates):
1 Cu 0.250 0.250 0.250
2 Tc 0.998 0.998 0.998
3 Pt 0.750 0.750 0.750
4 Tc 0.502 0.502 0.502